Computed, not measured: crystalline TmMg2Rh3 at its relaxed geometry at the PBE level of DFT.

N(E_F), states/eV per atom: 0.30
Formation energy, eV per atom: -0.6961
VASP energy, Ha/atom: -0.20758
Space-group type: No. 164

Cell lengths 4.534, 4.534, 5.562 Å; angles 90.00, 90.00, 120.00 degrees
Atoms (fractional coordinates):
Tm 0.000 0.000 0.000
Mg 0.333 0.667 0.658
Mg 0.667 0.333 0.342
Rh 0.000 0.000 0.500
Rh 0.333 0.667 0.174
Rh 0.667 0.333 0.826